The following is a DFT calculation (PBE) of a relaxed structure of Cu4Br2OF.

E = -3.7973 eV per atom
ΔE_f (raw) = -0.477 eV per atom

a = 7.748 Å, b = 6.118 Å, c = 6.230 Å
α = 90.00°, β = 90.00°, γ = 90.00°
Fractional coordinates of all 16 atoms:
Cu1 0.000 0.045 0.000
Cu2 0.000 0.944 0.509
Cu3 0.174 0.680 0.951
Cu4 0.326 0.320 0.451
Cu5 0.500 0.056 0.009
Cu6 0.500 0.955 0.500
Cu7 0.674 0.320 0.451
Cu8 0.826 0.680 0.951
Br1 0.248 0.315 0.820
Br2 0.252 0.685 0.320
Br3 0.748 0.685 0.320
Br4 0.752 0.315 0.820
O1 0.000 0.831 0.785
O2 0.500 0.169 0.285
F1 0.000 0.163 0.285
F2 0.500 0.837 0.785

---

The following is a DFT calculation (PBE) of a relaxed structure of CuPdBrF2.

E = -3.7618 eV per atom
ΔE_f (raw) = -0.821 eV per atom

a = 3.750 Å, b = 3.750 Å, c = 5.921 Å
α = 90.00°, β = 90.00°, γ = 90.00°
Fractional coordinates of all 5 atoms:
Cu1 0.000 0.000 0.000
Pd1 0.000 0.000 0.500
Br1 0.500 0.500 0.500
F1 0.000 0.500 0.000
F2 0.500 0.000 0.000

---

Q: Among the records above, which one has the highest E?
A: CuPdBrF2

---

Q: Which of these has the lowest E?
A: Cu4Br2OF

---

Q: Which formula does entry 2 have?
A: CuPdBrF2